The following is a GGA-PBE calculation of an optimized crystal structure of Sr2CaCl2, from Alexandria.

```
Sr2CaCl2
1.0
10.573 0.000 0.000
0.000 10.573 0.000
0.000 0.000 3.772
Sr Ca Cl
4 2 4
Cartesian
1.360 3.926 0.000
3.926 9.213 0.000
6.646 1.360 0.000
9.213 6.646 0.000
0.000 0.000 0.000
5.286 5.286 0.000
1.124 6.411 1.886
4.162 1.124 1.886
6.411 9.448 1.886
9.448 4.162 1.886
```

Output
Crystal system: tetragonal
ΔE_f (raw) (eV/atom): -0.95
Symmetry: P4/mbm (127)
Excess energy over the best structure of this formula in the dataset (meV per atom): 354.8
Density (Mg/m³): 2.25

=====

The following is a GGA-PBE calculation of an optimized crystal structure of Pm2Ho2In3, from Alexandria.

```
Pm2Ho2In3
1.0
3.917 0.000 0.000
1.952 6.263 0.000
1.941 2.762 8.382
Pm Ho In
2 2 3
Cartesian
0.972 1.524 0.409
6.839 7.501 7.973
2.929 3.652 2.713
4.881 5.373 5.669
0.971 1.381 4.191
2.928 2.835 5.920
4.882 6.189 2.463
```

Output
Crystal system: triclinic
Symmetry: P-1 (2)
Excess energy over the best structure of this formula in the dataset (meV per atom): 27.9
Density (Mg/m³): 7.79
DFT formation energy (meV per atom): -280

=====

The following is a GGA-PBE calculation of an optimized crystal structure of Hf2AlSi2Ru5, from Alexandria.

```
Hf2AlSi2Ru5
1.0
9.697 0.000 0.000
0.000 9.697 0.000
0.000 0.000 3.201
Hf Al Si Ru
4 2 4 10
Cartesian
1.681 3.167 0.000
3.167 8.016 0.000
6.530 1.681 0.000
8.016 6.530 0.000
0.000 0.000 0.000
4.848 4.848 0.000
1.243 6.092 0.000
3.605 1.243 0.000
6.092 8.454 0.000
8.454 3.605 0.000
0.000 4.848 1.600
0.652 7.699 1.600
1.998 0.652 1.600
2.850 5.500 1.600
4.197 2.850 1.600
4.848 0.000 1.600
5.500 6.847 1.600
6.847 4.197 1.600
7.699 9.045 1.600
9.045 1.998 1.600
```

Output
Crystal system: tetragonal
ΔE_f (raw) (eV/atom): -0.76
Symmetry: P4/mbm (127)
Density (Mg/m³): 10.43

=====

The following is a GGA-PBE calculation of an optimized crystal structure of Zr2ScV, from Alexandria.

```
Zr2ScV
1.0
1.523 0.880 10.556
-1.523 0.880 10.556
0.000 -1.759 10.556
Zr Sc V
2 1 1
Cartesian
0.000 0.000 2.609
0.000 0.000 29.057
0.000 0.000 15.833
0.000 0.000 0.000
```

Output
Crystal system: trigonal
Symmetry: R-3m (166)
Excess energy over the best structure of this formula in the dataset (meV per atom): 314.4
Density (Mg/m³): 5.45
DFT formation energy (meV per atom): 455

=====

The following is a GGA-PBE calculation of an optimized crystal structure of TiSiB3, from Alexandria.

```
TiSiB3
1.0
4.170 0.000 0.000
0.000 4.170 0.000
0.000 0.000 4.170
Ti Si B
1 1 3
Cartesian
0.000 0.000 0.000
2.085 2.085 2.085
0.000 0.000 2.085
0.000 2.085 0.000
2.085 0.000 0.000
```

Output
Crystal system: cubic
ΔE_f (raw) (eV/atom): 1.72
Symmetry: Pm-3m (221)
Excess energy over the best structure of this formula in the dataset (meV per atom): 556.4
Density (Mg/m³): 2.48

=====

The following is a GGA-PBE calculation of an optimized crystal structure of LaPm2Cu2Si2, from Alexandria.

```
LaPm2Cu2Si2
1.0
2.137 1.234 9.945
-2.137 1.234 9.945
0.000 -2.468 9.945
La Pm Cu Si
1 2 2 2
Cartesian
0.000 0.000 0.000
0.000 0.000 3.789
0.000 0.000 26.046
0.000 0.000 12.036
0.000 0.000 17.799
0.000 0.000 7.844
0.000 0.000 21.991
```

Output
Crystal system: trigonal
ΔE_f (raw) (eV/atom): -0.48
Symmetry: R-3m (166)
Density (Mg/m³): 6.46